# 1
# LuGaPdAu

A relaxed LuGaPdAu crystal (GGA-PBE, the Open Quantum Materials Database).

Cell: 6.636 6.636 6.636 Å, 90.00 90.00 90.00°
Space group F-43m (No. 216)
Unique sites:
Lu 0.000 0.000 0.000 x4
Ga 0.250 0.250 0.750 x4
Pd 0.250 0.250 0.250 x4
Au 0.000 0.000 0.500 x4

Computed properties:
Calculated volume in Å³ per atom: 18.26
Uncorrected energy in eV/atom: -4.602

# 2
# Nd2TmGa2

A relaxed Nd2TmGa2 crystal (GGA-PBE, the Open Quantum Materials Database).

Cell: 7.725 7.725 4.506 Å, 90.00 90.00 90.00°
Space group P4/mbm (No. 127)
Unique sites:
Nd 0.175 0.325 0.000 x4
Tm 0.000 0.000 0.500 x2
Ga 0.120 0.620 0.500 x4

Computed properties:
Calculated volume in Å³ per atom: 26.89
Uncorrected energy in eV/atom: -4.527

# 3
# Dy5Ho2Hg

A relaxed Dy5Ho2Hg crystal (GGA-PBE, the Open Quantum Materials Database).

Cell: 5.528 7.025 12.192 Å, 90.00 90.00 90.00°
Space group Amm2 (No. 38)
Unique sites:
Dy 0.000 0.000 0.000 x2
Dy 0.000 0.244 0.748 x4
Dy 0.500 0.243 0.918 x4
Ho 0.000 0.000 0.503 x2
Ho 0.500 0.000 0.162 x2
Hg 0.500 0.000 0.665 x2

Computed properties:
Calculated volume in Å³ per atom: 29.60
Uncorrected energy in eV/atom: -4.095
ΔH_f (0 K) in eV/atom: -0.04

# 4
# HfSb2Ir

A relaxed HfSb2Ir crystal (GGA-PBE, the Open Quantum Materials Database).

Cell: 6.963 6.963 6.963 Å, 90.00 90.00 90.00°
Space group F-43m (No. 216)
Unique sites:
Hf 0.000 0.000 0.000 x4
Sb 0.000 0.000 0.500 x4
Sb 0.250 0.250 0.250 x4
Ir 0.250 0.250 0.750 x4

Computed properties:
Calculated volume in Å³ per atom: 21.10
Uncorrected energy in eV/atom: -6.649

# 5
# Sc4Au2CN

A relaxed Sc4Au2CN crystal (GGA-PBE, the Open Quantum Materials Database).

Cell: 3.3095 3.3095 13.8470 Å, 90.00 90.00 120.00°
Space group P-3m1 (No. 164)
Unique sites:
Sc 0.3333 0.6667 0.0895 x2
Sc 0.3333 0.6667 0.4120 x2
Au 0.3333 0.6667 0.7456 x2
C 0.0000 0.0000 0.0000 x1
N 0.0000 0.0000 0.5000 x1

Computed properties:
Calculated volume in Å³ per atom: 16.42
Uncorrected energy in eV/atom: -7.068

# 6
# RbAcPu

A relaxed RbAcPu crystal (GGA-PBE, the Open Quantum Materials Database).

Cell: 8.841 8.841 8.841 Å, 90.00 90.00 90.00°
Space group F-43m (No. 216)
Unique sites:
Rb 0.000 0.000 0.000 x4
Ac 0.000 0.000 0.500 x4
Pu 0.250 0.250 0.250 x4

Computed properties:
Calculated volume in Å³ per atom: 57.58
Uncorrected energy in eV/atom: -5.270

# 7
# Dy3TmSb4

A relaxed Dy3TmSb4 crystal (GGA-PBE, the Open Quantum Materials Database).

Cell: 6.178 6.178 6.178 Å, 90.00 90.00 90.00°
Space group Pm-3m (No. 221)
Unique sites:
Dy 0.000 0.000 0.500 x3
Tm 0.500 0.500 0.500 x1
Sb 0.000 0.000 0.000 x1
Sb 0.000 0.500 0.500 x3

Computed properties:
Calculated volume in Å³ per atom: 29.48
Uncorrected energy in eV/atom: -5.460

# 8
# ZrUPa

A relaxed ZrUPa crystal (GGA-PBE, the Open Quantum Materials Database).

Cell: 6.745 6.745 6.745 Å, 90.00 90.00 90.00°
Space group F-43m (No. 216)
Unique sites:
Zr 0.000 0.000 0.000 x4
U 0.250 0.250 0.750 x4
Pa 0.000 0.000 0.500 x4

Computed properties:
Calculated volume in Å³ per atom: 25.57
Uncorrected energy in eV/atom: -8.803
ΔH_f (0 K) in eV/atom: 0.98

# 9
# UTlW

A relaxed UTlW crystal (GGA-PBE, the Open Quantum Materials Database).

Cell: 6.651 6.651 6.651 Å, 90.00 90.00 90.00°
Space group F-43m (No. 216)
Unique sites:
U 0.000 0.000 0.000 x4
Tl 0.000 0.000 0.500 x4
W 0.250 0.250 0.250 x4

Computed properties:
Calculated volume in Å³ per atom: 24.52
Uncorrected energy in eV/atom: -7.755

# 10
# Cu5Ag4

A relaxed Cu5Ag4 crystal (GGA-PBE, the Open Quantum Materials Database).

Cell: 2.7825 2.7825 19.7310 Å, 90.00 90.00 120.00°
Space group P-3m1 (No. 164)
Unique sites:
Cu 0.0000 0.0000 0.0000 x1
Cu 0.0000 0.0000 0.3249 x2
Cu 0.3333 0.6667 0.9008 x2
Ag 0.3333 0.6667 0.2126 x2
Ag 0.3333 0.6667 0.5632 x2

Computed properties:
Calculated volume in Å³ per atom: 14.70
Uncorrected energy in eV/atom: -3.211
ΔH_f (0 K) in eV/atom: 0.11

# 11
# CoNiGeW

A relaxed CoNiGeW crystal (GGA-PBE, the Open Quantum Materials Database).

Cell: 5.909 5.909 5.909 Å, 90.00 90.00 90.00°
Space group F-43m (No. 216)
Unique sites:
Co 0.000 0.000 0.000 x4
Ni 0.250 0.250 0.250 x4
Ge 0.250 0.250 0.750 x4
W 0.000 0.000 0.500 x4

Computed properties:
Calculated volume in Å³ per atom: 12.90
Uncorrected energy in eV/atom: -7.427

# 12
# Zr2TcOs

A relaxed Zr2TcOs crystal (GGA-PBE, the Open Quantum Materials Database).

Cell: 6.566 6.566 6.566 Å, 90.00 90.00 90.00°
Space group Fm-3m (No. 225)
Unique sites:
Zr 0.250 0.250 0.250 x8
Tc 0.000 0.000 0.000 x4
Os 0.000 0.000 0.500 x4

Computed properties:
Calculated volume in Å³ per atom: 17.69
Uncorrected energy in eV/atom: -10.149
ΔH_f (0 K) in eV/atom: -0.48

Theoretical density (g cm⁻³)
12.46 7.37 9.42 12.09 7.58 5.35 8.05 12.13 14.14 9.40 12.04 11.04